[1]
Here is an optimized crystal structure of LiIn2Hg6 from Alexandria via LeMat-Bulk. Energies are from PBE.

Cell lengths 4.7802, 7.1677, 8.3349 Å; angles 115.47, 106.56, 90.00 degrees
Closest atoms and distances in Å follow each position.
Fractional positions:
Hg 0.5000 0.2121 0.0000  2 Li 2.83, 2 In 3.01, 1 Hg 3.04
Hg 0.8463 0.6117 0.6769  1 Li 2.82, 3 In 3.08-3.10
Hg 0.1537 0.9348 0.3231  1 Li 2.82, 3 In 3.08-3.10
In 0.6429 0.6537 0.3074  8 Hg 3.01-3.10
Li 0.0000 0.0000 0.0000  8 Hg 2.82-2.83
Hg 0.8463 0.0652 0.6769  1 Li 2.82, 3 In 3.08-3.10
In 0.3571 0.3463 0.6926  8 Hg 3.01-3.10
Hg 0.5000 0.7879 0.0000  2 Li 2.83, 2 In 3.01, 1 Hg 3.04
Hg 0.1537 0.3883 0.3231  1 Li 2.82, 3 In 3.08-3.10

Calculated values
Energy of formation from the pure elements: -42 meV/atom
Symmetry: No. 12

---

[2]
Here is an optimized crystal structure of CaNdIn from Alexandria via LeMat-Bulk. Energies are from PBE.

Cell lengths 3.7266, 3.7266, 7.5190 Å; angles 104.35, 104.35, 90.00 degrees
Closest atoms and distances in Å follow each position.
Fractional positions:
Ca 0.5949 0.5949 0.1898  4 In 3.34, 4 Ca 3.73
In 0.9487 0.9487 0.8973  4 Nd 3.31, 4 Ca 3.34
Nd 0.3065 0.3065 0.6129  4 In 3.31

Calculated values
Energy of formation from the pure elements: -292 meV/atom
Symmetry: No. 107

---

[3]
Here is an optimized crystal structure of Zn2In2GaPt5 from Alexandria via LeMat-Bulk. Energies are from PBE.

Cell lengths 2.9133, 10.8914, 10.8914 Å; angles 90.00, 90.00, 90.00 degrees
Closest atoms and distances in Å follow each position.
Fractional positions:
Pt 0.5000 0.1272 0.8456  2 Ga 2.62, 2 Zn 2.65, 2 In 2.80, 2 Pt 2.91
Pt 0.5000 0.3456 0.6272  2 Ga 2.62, 2 Zn 2.65, 2 In 2.80, 2 Pt 2.91
Pt 0.5000 0.6272 0.6544  2 Ga 2.62, 2 Zn 2.65, 2 In 2.80, 2 Pt 2.91
Pt 0.5000 0.5000 0.0000  4 Zn 2.64, 4 In 2.78, 2 Pt 2.91
In 0.0000 0.8464 0.6536  6 Pt 2.78-2.80, 2 In 2.91
Ga 0.0000 0.5000 0.5000  8 Pt 2.62, 2 Ga 2.91
Pt 0.5000 0.8456 0.8728  2 Ga 2.62, 2 Zn 2.65, 2 In 2.80, 2 Pt 2.91
Zn 0.0000 0.3570 0.1430  6 Pt 2.64-2.65, 2 Zn 2.91
Pt 0.5000 0.6544 0.3728  2 Ga 2.62, 2 Zn 2.65, 2 In 2.80, 2 Pt 2.91
Pt 0.5000 0.3728 0.3456  2 Ga 2.62, 2 Zn 2.65, 2 In 2.80, 2 Pt 2.91
Zn 0.0000 0.8570 0.3570  6 Pt 2.64-2.65, 2 Zn 2.91
Zn 0.0000 0.6430 0.8570  6 Pt 2.64-2.65, 2 Zn 2.91
Pt 0.5000 0.8728 0.1544  2 Ga 2.62, 2 Zn 2.65, 2 In 2.80, 2 Pt 2.91
In 0.0000 0.1536 0.3464  6 Pt 2.78-2.80, 2 In 2.91
Pt 0.5000 0.1544 0.1272  2 Ga 2.62, 2 Zn 2.65, 2 In 2.80, 2 Pt 2.91
Zn 0.0000 0.1430 0.6430  6 Pt 2.64-2.65, 2 Zn 2.91
In 0.0000 0.3464 0.8464  6 Pt 2.78-2.80, 2 In 2.91
Pt 0.5000 0.0000 0.5000  4 Zn 2.64, 4 In 2.78, 2 Pt 2.91
Ga 0.0000 0.0000 0.0000  8 Pt 2.62, 2 Ga 2.91
In 0.0000 0.6536 0.1536  6 Pt 2.78-2.80, 2 In 2.91

Calculated values
Energy of formation from the pure elements: -449 meV/atom
Symmetry: No. 127

---

[4]
Here is an optimized crystal structure of Ir4OsRuRh2 from Alexandria via LeMat-Bulk. Energies are from PBE.

Cell lengths 3.4635, 6.8454, 5.9300 Å; angles 72.83, 90.00, 90.00 degrees
Closest atoms and distances in Å follow each position.
Fractional positions:
Ir 0.0000 0.2710 0.2421  2 Os 2.49, 1 Ru 2.49, 3 Rh 2.66-2.67
Rh 0.0000 0.0000 0.0000  6 Ir 2.66
Ru 0.0000 0.5000 0.5000  6 Ir 2.49-2.50
Ir 0.5000 0.2699 0.7448  1 Os 2.49, 2 Ru 2.50, 3 Rh 2.66-2.67
Ir 0.0000 0.7290 0.7579  2 Os 2.49, 1 Ru 2.49, 3 Rh 2.66-2.67
Ir 0.5000 0.7301 0.2552  1 Os 2.49, 2 Ru 2.50, 3 Rh 2.66-2.67
Os 0.5000 0.5000 0.0000  6 Ir 2.49
Rh 0.5000 0.0000 0.5000  6 Ir 2.67

Calculated values
Energy of formation from the pure elements: 978 meV/atom
Symmetry: No. 10

---

[5]
Here is an optimized crystal structure of Cs3Pa3CuS8 from Alexandria via LeMat-Bulk. Energies are from PBE.

Cell lengths 8.5181, 7.8997, 9.0273 Å; angles 111.78, 90.00, 122.62 degrees
Closest atoms and distances in Å follow each position.
Fractional positions:
S 0.1898 0.3795 0.6469  1 Cu 2.28
Cs 0.5000 0.5000 0.0000  6 S 3.48-3.62
S 0.2704 0.5409 0.3166  3 Pa 2.76-2.78
Pa 0.5000 0.0000 0.5000  6 S 2.71-2.76
S 0.8102 0.6205 0.3531  1 Cu 2.28
Pa 0.0000 0.5000 0.5000  6 S 2.66-2.81
S 0.7471 0.0662 0.3035  2 Pa 2.66-2.71
S 0.2529 0.9338 0.6965  2 Pa 2.66-2.71
Cs 0.0000 0.5000 0.0000  6 S 3.48-3.62
Cu 0.0000 0.0000 0.5000  2 S 2.28
S 0.3192 0.0662 0.3035  2 Pa 2.66-2.71
Cs 0.0000 0.0000 0.0000  6 S 3.47-3.55
S 0.6808 0.9338 0.6965  2 Pa 2.66-2.71
S 0.7296 0.4591 0.6834  3 Pa 2.76-2.78
Pa 0.5000 0.5000 0.5000  6 S 2.66-2.81

Calculated values
Energy relative to the elements, uncorrected: -1.33 eV/atom
Symmetry: No. 12

---

[6]
Here is an optimized crystal structure of KTaTe from Alexandria via LeMat-Bulk. Energies are from PBE.

Cell lengths 7.5213, 7.5213, 7.5213 Å; angles 153.09, 153.09, 38.42 degrees
Closest atoms and distances in Å follow each position.
Fractional positions:
Te 0.6993 0.6993 0.0000  4 Ta 2.83
Ta 0.2954 0.2954 0.0000  4 Te 2.83
K 0.0053 0.0053 0.0000  4 K 3.50, 4 Te 3.70, 4 Ta 3.88

Calculated values
Energy relative to the elements, uncorrected: 0.35 eV/atom
Symmetry: No. 107

---

[7]
Here is an optimized crystal structure of Sr2MoSe from Alexandria via LeMat-Bulk. Energies are from PBE.

Cell lengths 5.3346, 5.3346, 5.3346 Å; angles 60.00, 60.00, 60.00 degrees
Closest atoms and distances in Å follow each position.
Fractional positions:
Sr 0.0000 0.0000 0.0000  4 Se 3.27, 4 Sr 3.27
Mo 0.5000 0.5000 0.5000  4 Sr 3.27, 4 Se 3.27
Sr 0.2500 0.2500 0.2500  4 Mo 3.27, 4 Sr 3.27
Se 0.7500 0.7500 0.7500  4 Mo 3.27, 4 Sr 3.27

Calculated values
Energy relative to the elements, uncorrected: 0.50 eV/atom
Symmetry: No. 216

---

[8]
Here is an optimized crystal structure of KTa2Re from Alexandria via LeMat-Bulk. Energies are from PBE.

Cell lengths 8.4310, 8.4310, 8.4310 Å; angles 158.14, 149.72, 37.66 degrees
Closest atoms and distances in Å follow each position.
Fractional positions:
Ta 0.1132 0.1132 0.0000  2 Re 2.51, 2 Ta 2.78
K 0.4327 0.4327 0.0000  2 K 3.20, 2 Re 3.55
Ta 0.7199 0.2199 0.5000  4 Re 2.73, 2 Ta 2.78
Re 0.2342 0.7342 0.5000  6 Ta 2.51-2.73

Calculated values
Energy of formation from the pure elements: 877 meV/atom
Symmetry: No. 44

---

[9]
Here is an optimized crystal structure of Tb5Dy6Sc from Alexandria via LeMat-Bulk. Energies are from PBE.

Cell lengths 11.6900, 6.1106, 6.1057 Å; angles 59.97, 85.04, 80.04 degrees
Closest atoms and distances in Å follow each position.
Fractional positions:
Dy 0.7527 0.4127 0.6693  1 Sc 3.49, 6 Dy 3.50-3.54, 5 Tb 3.51-3.56
Tb 0.5000 0.1665 0.6671  6 Tb 3.52-3.53, 6 Dy 3.54-3.56
Tb 0.0000 0.3335 0.3330  6 Dy 3.51, 3 Tb 3.52-3.53, 3 Sc 3.53
Dy 0.7527 0.0820 0.3307  1 Sc 3.49, 6 Dy 3.50-3.54, 5 Tb 3.51-3.56
Dy 0.2473 0.9180 0.6693  1 Sc 3.49, 6 Dy 3.50-3.54, 5 Tb 3.51-3.56
Tb 0.5000 0.5000 0.0000  6 Tb 3.53, 6 Dy 3.55
Sc 0.0000 0.0000 0.0000  6 Dy 3.49-3.50, 6 Tb 3.53
Tb 0.0000 0.6665 0.6670  6 Dy 3.51, 3 Tb 3.52-3.53, 3 Sc 3.53
Dy 0.7522 0.7512 0.0000  1 Sc 3.50, 6 Dy 3.50-3.54, 5 Tb 3.51-3.55
Dy 0.2478 0.2488 0.0000  1 Sc 3.50, 6 Dy 3.50-3.54, 5 Tb 3.51-3.55
Dy 0.2473 0.5873 0.3307  1 Sc 3.49, 6 Dy 3.50-3.54, 5 Tb 3.51-3.56
Tb 0.5000 0.8335 0.3329  6 Tb 3.52-3.53, 6 Dy 3.54-3.56

Calculated values
Energy of formation from the pure elements: 25 meV/atom
Symmetry: No. 12

---

[10]
Here is an optimized crystal structure of PmLuAs from Alexandria via LeMat-Bulk. Energies are from PBE.

Cell lengths 4.2682, 4.6983, 4.6983 Å; angles 120.00, 90.00, 90.00 degrees
Closest atoms and distances in Å follow each position.
Fractional positions:
Pm 0.7153 0.6667 0.3333  3 As 3.11, 6 Lu 3.45
As 0.0695 0.0000 0.0000  3 Lu 2.78, 3 Pm 3.11
Lu 0.2152 0.3333 0.6667  3 As 2.78

Calculated values
Energy of formation from the pure elements: -574 meV/atom
Symmetry: No. 156

---

[11]
Here is an optimized crystal structure of ZrMo2 from Alexandria via LeMat-Bulk. Energies are from PBE.

Cell lengths 4.8506, 4.8506, 5.2907 Å; angles 90.00, 90.00, 120.00 degrees
Closest atoms and distances in Å follow each position.
Fractional positions:
Zr 0.6667 0.3333 0.2500  5 Mo 2.65-2.80
Mo 0.3333 0.6667 0.2500  5 Zr 2.65-2.80
Mo 0.0000 0.0000 0.0000  2 Mo 2.65
Mo 0.6667 0.3333 0.7500  5 Zr 2.65-2.80
Zr 0.3333 0.6667 0.7500  5 Mo 2.65-2.80
Mo 0.0000 0.0000 0.5000  2 Mo 2.65

Calculated values
Energy of formation from the pure elements: 328 meV/atom
Symmetry: No. 194

---

[12]
Here is an optimized crystal structure of LiCa2ZnN from Alexandria via LeMat-Bulk. Energies are from PBE.

Cell lengths 4.8988, 4.8988, 4.1775 Å; angles 90.00, 90.00, 90.00 degrees
Closest atoms and distances in Å follow each position.
Fractional positions:
Ca 0.5000 0.0000 0.0000  2 N 2.45
N 0.0000 0.0000 0.0000  2 Li 2.09
Ca 0.0000 0.5000 0.0000  2 N 2.45
Li 0.0000 0.0000 0.5000  2 N 2.09
Zn 0.5000 0.5000 0.5000  8 Ca 3.22, 4 Li 3.46

Calculated values
Energy relative to the elements, uncorrected: -0.40 eV/atom
Symmetry: No. 123

---

Going through the records in order, we get volume values of 27.2 32.6 17.3 16.8 30.6 29.0 26.8 28.1 31.0 27.2 18.0 20.1 A^3/atom.